P) Below is TlSiTeBrF after structural relaxation, with properties calculated at the PBE-GGA level.

Cell: 5.9127 3.8207 7.0015 Å, 90.00 111.08 90.00°
Closest atoms and distances in Å follow each position.
Fractional positions:
Tl  0.0000  0.0000  0.0000  2 F 2.39
Si  0.9557  0.5000  0.6066  1 Br 2.27
Te  0.7467  0.0000  0.3640  2 Si 2.56
Br  0.3641  0.5000  0.6900  1 Si 2.27
F  0.2338  0.5000  0.1626  2 Tl 2.39


Q) Below is TlSiTeBrF after structural relaxation, with properties calculated at the PBE-GGA level.

Cell: 4.8969 5.4313 6.4892 Å, 94.40 111.91 90.20°
Closest atoms and distances in Å follow each position.
Fractional positions:
Tl  0.0000  0.0000  0.0000  1 F 3.16, 2 Br 3.44, 1 Te 3.47, 1 Si 3.51
Si  0.2545  0.3679  0.5075  1 F 1.65
Te  0.7301  0.1778  0.4594  2 Si 2.66
Br  0.4366  0.5651  0.8749  1 Si 2.38
F  0.1836  0.6119  0.3622  1 Si 1.65


R) Below is TlSiTeBrF after structural relaxation, with properties calculated at the PBE-GGA level.

Cell: 5.8842 5.8842 6.6362 Å, 111.17 111.17 49.56°
Closest atoms and distances in Å follow each position.
Fractional positions:
Tl  0.0000  0.0000  0.0000  2 Br 3.36, 1 Te 3.43, 1 Si 3.69
Si  0.3471  0.3471  0.4372  1 F 1.64
Te  0.7878  0.7878  0.2752  2 Si 2.66
Br  0.2827  0.2827  0.7389  1 Si 2.36
F  0.5131  0.5131  0.5752  1 Si 1.64


S) Below is TlSiTeBrF after structural relaxation, with properties calculated at the PBE-GGA level.

Cell: 5.3187 4.9681 6.4340 Å, 90.00 110.80 90.00°
Closest atoms and distances in Å follow each position.
Fractional positions:
Tl  0.0000  0.0000  0.0000  2 F 3.07
Si  0.5464  0.5000  0.4438  1 F 1.67
Te  0.7044  0.0000  0.4025  2 Si 2.67
Br  0.5104  0.5000  0.8005  1 Si 2.37
F  0.2208  0.5000  0.2868  1 Si 1.67


What are the relative energies? In eV/atom: P) 0.341; Q) 0.037; R) 0.021; S) 0.000.


P) Below is Sn2Br2F after structural relaxation, with properties calculated at the PBE-GGA level.

Cell: 8.0639 8.0639 10.7860 Å, 127.92 127.92 42.28°
Closest atoms and distances in Å follow each position.
Fractional positions:
Sn  0.0728  0.0728  0.4481  3 Br 2.82-2.94, 1 Sn 3.05
Sn  0.1427  0.1427  0.2114  2 F 2.21-2.27
Sn  0.8573  0.8573  0.7886  2 F 2.21-2.27
Sn  0.9272  0.9272  0.5519  3 Br 2.82-2.94, 1 Sn 3.05
Br  0.2760  0.2760  0.7860  3 Sn 2.82-3.15
Br  0.4157  0.4157  0.5784  2 Sn 2.94
Br  0.5843  0.5843  0.4216  2 Sn 2.94
Br  0.7240  0.7240  0.2140  3 Sn 2.82-3.15
F  0.0513  0.0513  0.9402  2 Sn 2.21-2.27
F  0.9487  0.9487  0.0598  2 Sn 2.21-2.27


Q) Below is Sn2Br2F after structural relaxation, with properties calculated at the PBE-GGA level.

Cell: 7.1522 7.1522 4.9985 Å, 90.00 90.00 90.00°
Closest atoms and distances in Å follow each position.
Fractional positions:
Sn  0.1796  0.3204  0.0000  2 F 2.63, 2 Br 2.90
Sn  0.3204  0.8204  0.0000  2 F 2.63, 2 Br 2.90
Sn  0.6796  0.1796  0.0000  2 F 2.63, 2 Br 2.90
Sn  0.8204  0.6796  0.0000  2 F 2.63, 2 Br 2.90
Br  0.1752  0.6752  0.5000  2 Sn 2.90
Br  0.3248  0.1752  0.5000  2 Sn 2.90
Br  0.6752  0.8248  0.5000  2 Sn 2.90
Br  0.8248  0.3248  0.5000  2 Sn 2.90
F  0.0000  0.0000  0.0000  4 Sn 2.63
F  0.5000  0.5000  0.0000  4 Sn 2.63


What are the relative energies? In eV/atom: P) 0.000; Q) 0.101.


P) Below is Sn3BrF after structural relaxation, with properties calculated at the PBE-GGA level.

Cell: 5.1729 5.1729 5.1729 Å, 90.00 90.00 90.00°
Closest atoms and distances in Å follow each position.
Fractional positions:
Sn  0.0000  0.0000  0.5000  2 F 2.59
Sn  0.0000  0.5000  0.0000  2 F 2.59
Sn  0.5000  0.0000  0.0000  2 F 2.59
Br  0.5000  0.5000  0.5000  12 Sn 3.66
F  0.0000  0.0000  0.0000  6 Sn 2.59


Q) Below is Sn3BrF after structural relaxation, with properties calculated at the PBE-GGA level.

Cell: 5.6400 5.6400 5.6400 Å, 90.00 90.00 90.00°
Closest atoms and distances in Å follow each position.
Fractional positions:
Sn  0.0000  0.0000  0.5000  2 Br 2.82
Sn  0.0000  0.5000  0.0000  2 Br 2.82
Sn  0.5000  0.0000  0.0000  2 Br 2.82
Br  0.0000  0.0000  0.0000  6 Sn 2.82
F  0.5000  0.5000  0.5000  12 Sn 3.99


What are the relative energies? In eV/atom: P) 0.000; Q) 0.564.


P) Below is SnBrF3 after structural relaxation, with properties calculated at the PBE-GGA level.

Cell: 4.6258 4.6258 4.6258 Å, 90.00 90.00 90.00°
Closest atoms and distances in Å follow each position.
Fractional positions:
Sn  0.0000  0.0000  0.0000  12 F 3.27
Br  0.5000  0.5000  0.5000  6 F 2.31
F  0.0000  0.5000  0.5000  2 Br 2.31
F  0.5000  0.0000  0.5000  2 Br 2.31
F  0.5000  0.5000  0.0000  2 Br 2.31


Q) Below is SnBrF3 after structural relaxation, with properties calculated at the PBE-GGA level.

Cell: 5.0107 5.0107 5.0107 Å, 92.99 92.99 92.99°
Closest atoms and distances in Å follow each position.
Fractional positions:
Sn  0.0000  0.0000  0.0000  3 F 1.93
Br  0.7046  0.7046  0.7046  1 Sn 2.43
F  0.2353  0.2353  0.8152  1 Sn 1.93
F  0.2353  0.8152  0.2353  1 Sn 1.93
F  0.8152  0.2353  0.2353  1 Sn 1.93


What are the relative energies? In eV/atom: P) 1.222; Q) 0.000.


P) Below is TlSnBr2F after structural relaxation, with properties calculated at the PBE-GGA level.

Cell: 5.9697 5.9697 4.5567 Å, 90.00 90.00 90.00°
Closest atoms and distances in Å follow each position.
Fractional positions:
Tl  0.0000  0.0000  0.0000  8 Br 3.76
Sn  0.5000  0.5000  0.5000  2 F 2.28
Br  0.0000  0.5000  0.5000  2 Sn 2.98
Br  0.5000  0.0000  0.5000  2 Sn 2.98
F  0.5000  0.5000  0.0000  2 Sn 2.28


Q) Below is TlSnBr2F after structural relaxation, with properties calculated at the PBE-GGA level.

Cell: 8.2705 4.3531 9.0585 Å, 90.00 108.73 90.00°
Closest atoms and distances in Å follow each position.
Fractional positions:
Tl  0.1809  0.2500  0.3872  3 F 2.86-3.09
Tl  0.8191  0.7500  0.6128  3 F 2.86-3.09
Sn  0.3484  0.7500  0.8241  1 F 2.09
Sn  0.6516  0.2500  0.1759  1 F 2.09
Br  0.1243  0.2500  0.8656  2 Sn 2.96
Br  0.4608  0.7500  0.2891  2 Sn 3.05
Br  0.5392  0.2500  0.7109  2 Sn 3.05
Br  0.8757  0.7500  0.1344  2 Sn 2.96
F  0.1859  0.7500  0.5933  1 Sn 2.09
F  0.8141  0.2500  0.4067  1 Sn 2.09


What are the relative energies? In eV/atom: P) 0.046; Q) 0.000.


P) Below is Sr2Br2F after structural relaxation, with properties calculated at the PBE-GGA level.

Cell: 5.6425 5.6425 14.2828 Å, 90.00 90.00 90.00°
Closest atoms and distances in Å follow each position.
Fractional positions:
Sr  0.0000  0.0000  0.1616  1 F 2.31
Sr  0.0000  0.0000  0.8384  1 F 2.31
Br  0.0000  0.0000  0.3518  1 Sr 2.72
Br  0.0000  0.0000  0.6482  1 Sr 2.72
F  0.0000  0.0000  0.0000  2 Sr 2.31


Q) Below is Sr2Br2F after structural relaxation, with properties calculated at the PBE-GGA level.

Cell: 7.5360 7.5360 5.0217 Å, 90.00 90.00 90.00°
Closest atoms and distances in Å follow each position.
Fractional positions:
Sr  0.1826  0.3174  0.0000  2 F 2.76, 2 Br 3.04
Sr  0.3174  0.8174  0.0000  2 F 2.76, 2 Br 3.04
Sr  0.6826  0.1826  0.0000  2 F 2.76, 2 Br 3.04
Sr  0.8174  0.6826  0.0000  2 F 2.76, 2 Br 3.04
Br  0.1569  0.6569  0.5000  2 Sr 3.04, 1 Br 3.34
Br  0.3431  0.1569  0.5000  2 Sr 3.04, 1 Br 3.34
Br  0.6569  0.8431  0.5000  2 Sr 3.04, 1 Br 3.34
Br  0.8431  0.3431  0.5000  2 Sr 3.04, 1 Br 3.34
F  0.0000  0.0000  0.0000  4 Sr 2.76
F  0.5000  0.5000  0.0000  4 Sr 2.76


What are the relative energies? In eV/atom: P) 0.607; Q) 0.000.